Material: Cd2S2O7
Method: DFT, PBE
State: relaxed

Cell lengths 5.818, 5.818, 4.665 Å; angles 101.41, 101.41, 96.44 degrees
Fractional coordinates of all 11 atoms:
Cd: 0.209 0.791 0.000
Cd: 0.791 0.209 0.000
S: 0.276 0.276 0.601
S: 0.724 0.724 0.399
O: 0.105 0.393 0.777
O: 0.117 0.117 0.311
O: 0.393 0.105 0.777
O: 0.500 0.500 0.500
O: 0.607 0.895 0.223
O: 0.883 0.883 0.689
O: 0.895 0.607 0.223

Values from the calculation:
The value obtained for the density is 4.4 g/cm³. The value obtained for the electronic total energy is -5.11 eV/atom.



Material: YMnRe2
Method: DFT, PBE
State: relaxed

Cell lengths 5.447, 5.447, 2.775 Å; angles 100.42, 100.42, 119.65 degrees
Fractional coordinates of all 4 atoms:
Y: 0.000 0.000 0.000
Mn: 0.500 0.500 0.000
Re: 0.000 0.500 0.500
Re: 0.500 0.000 0.500

Values from the calculation:
The value obtained for the density is 12.8 g/cm³. The energy relative to the elements is 0.447 eV per atom. The value obtained for the electronic total energy is -9.69 eV/atom.



Material: NdY5HoSc2
Method: DFT, PBE
State: relaxed

Cell lengths 11.120, 11.120, 9.376 Å; angles 90.00, 90.00, 150.67 degrees
Fractional coordinates of all 18 atoms:
Nd: 0.184 0.816 0.500
Nd: 0.816 0.184 0.000
Y: 0.009 0.991 0.496
Y: 0.265 0.735 0.817
Y: 0.307 0.693 0.197
Y: 0.389 0.611 0.528
Y: 0.469 0.531 0.230
Y: 0.531 0.469 0.730
Y: 0.611 0.389 0.028
Y: 0.693 0.307 0.697
Y: 0.735 0.265 0.317
Y: 0.991 0.009 0.996
Ho: 0.403 0.597 0.900
Ho: 0.597 0.403 0.400
Sc: 0.113 0.887 0.806
Sc: 0.136 0.864 0.183
Sc: 0.864 0.136 0.683
Sc: 0.887 0.113 0.306

Values from the calculation:
The value obtained for the density is 4.9 g/cm³. The energy relative to the elements is 0.167 eV per atom. The value obtained for the electronic total energy is -5.87 eV/atom.



Material: Ac3La4PrTe8
Method: DFT, PBE
State: relaxed

Cell lengths 9.271, 9.271, 9.271 Å; angles 60.02, 60.02, 60.02 degrees
Fractional coordinates of all 16 atoms:
Ac: 0.000 0.500 0.500
Ac: 0.500 0.000 0.500
Ac: 0.500 0.500 0.000
La: 0.000 0.000 0.500
La: 0.000 0.500 0.000
La: 0.500 0.000 0.000
La: 0.500 0.500 0.500
Pr: 0.000 0.000 0.000
Te: 0.243 0.751 0.751
Te: 0.247 0.247 0.247
Te: 0.249 0.249 0.757
Te: 0.249 0.757 0.249
Te: 0.751 0.243 0.751
Te: 0.751 0.751 0.243
Te: 0.753 0.753 0.753
Te: 0.757 0.249 0.249

Values from the calculation:
The value obtained for the density is 7.1 g/cm³. The value obtained for the electronic total energy is -5.40 eV/atom.



Material: Nb3GaPb
Method: DFT, PBE
State: relaxed

Cell lengths 5.137, 5.137, 5.137 Å; angles 90.00, 90.00, 90.00 degrees
Fractional coordinates of all 5 atoms:
Nb: 0.000 0.000 0.500
Nb: 0.000 0.500 0.000
Nb: 0.500 0.000 0.000
Ga: 0.500 0.500 0.500
Pb: 0.000 0.000 0.000

Values from the calculation:
The value obtained for the density is 6.8 g/cm³. The energy relative to the elements is 1.950 eV per atom. The value obtained for the electronic total energy is -5.44 eV/atom.



Material: TiInSi3
Method: DFT, PBE
State: relaxed

Cell lengths 4.991, 4.991, 4.991 Å; angles 90.00, 90.00, 90.00 degrees
Fractional coordinates of all 5 atoms:
Ti: 0.000 0.000 0.000
In: 0.500 0.500 0.500
Si: 0.000 0.500 0.500
Si: 0.500 0.000 0.500
Si: 0.500 0.500 0.000

Values from the calculation:
The value obtained for the density is 3.3 g/cm³. The value obtained for the electronic total energy is -3.86 eV/atom.



Material: CeScSi
Method: DFT, PBE
State: relaxed

Cell lengths 3.987, 3.987, 8.162 Å; angles 90.00, 90.00, 90.00 degrees
Fractional coordinates of all 6 atoms:
Ce: 0.250 0.750 0.000
Ce: 0.750 0.250 0.000
Sc: 0.250 0.250 0.370
Sc: 0.750 0.750 0.630
Si: 0.250 0.250 0.710
Si: 0.750 0.750 0.290

Values from the calculation:
The value obtained for the density is 5.5 g/cm³. The value obtained for the electronic total energy is -6.41 eV/atom.



Material: CaZr2Cu
Method: DFT, PBE
State: relaxed

Cell lengths 3.256, 4.982, 5.598 Å; angles 90.00, 90.00, 90.00 degrees
Fractional coordinates of all 4 atoms:
Ca: 0.000 0.000 0.000
Zr: 0.000 0.500 0.500
Zr: 0.500 0.000 0.500
Cu: 0.500 0.500 0.000

Values from the calculation:
The value obtained for the density is 5.2 g/cm³. The energy relative to the elements is 0.295 eV per atom. The value obtained for the electronic total energy is -5.50 eV/atom.



Material: Cu2TcMo
Method: DFT, PBE
State: relaxed

Cell lengths 4.887, 4.887, 2.559 Å; angles 90.00, 90.00, 116.74 degrees
Fractional coordinates of all 4 atoms:
Cu: 0.000 0.500 0.000
Cu: 0.500 0.000 0.000
Tc: 0.000 0.000 0.500
Mo: 0.500 0.500 0.500

Values from the calculation:
The value obtained for the density is 9.8 g/cm³. The energy relative to the elements is 0.202 eV per atom. The value obtained for the electronic total energy is -7.15 eV/atom.



Material: LaZrTc2
Method: DFT, PBE
State: relaxed

Cell lengths 3.172, 4.112, 6.770 Å; angles 90.00, 100.31, 90.00 degrees
Fractional coordinates of all 4 atoms:
La: 0.000 0.000 0.000
Zr: 0.334 0.500 0.641
Tc: 0.501 0.500 0.280
Tc: 0.865 0.000 0.428

Values from the calculation:
The value obtained for the density is 8.1 g/cm³. The energy relative to the elements is 0.189 eV per atom. The value obtained for the electronic total energy is -8.36 eV/atom.